No. 1
Entry from Alexandria: crystalline Dy2UAs3 at its relaxed geometry (PBE).

## Properties
* DFT total energy: -7.01 eV per atom

Lattice parameters (Å, degrees): 9.155 9.155 9.155 154.06 154.06 37.01
Last column: magnetic moment on the atom in μB.
Fractional positions:
U 0.000 0.000 0.000  2.24
As 0.500 0.500 0.000  -0.06
As 0.165 0.165 0.000  -0.03
Dy 0.332 0.332 0.000  0.03
As 0.835 0.835 0.000  -0.03
Dy 0.668 0.668 0.000  0.03

---

No. 2
Entry from Alexandria: crystalline LaHoTeAs at its relaxed geometry (PBE).

## Properties
* formation energy from raw total energies: -1.53 eV/atom

Lattice parameters (Å, degrees): 4.244 4.245 7.886 90.00 105.60 120.00
Last column: magnetic moment on the atom in μB.
Fractional positions:
La 0.490 0.143 0.648  0.06
Ho 0.114 0.955 0.084  0.02
As 0.316 0.556 0.888  0.00
Te 0.958 0.377 0.349  0.00

---

No. 3
Entry from Alexandria: crystalline DyTa2B6 at its relaxed geometry (PBE).

## Properties
* distance to the lowest polymorph of the same formula: 0 meV per atom

Lattice parameters (Å, degrees): 3.474 5.461 5.461 120.00 90.00 90.00
Fractional positions:
B 0.500 0.000 0.661
B 0.500 0.339 0.339
B 0.500 0.339 0.000
Dy 0.000 0.000 0.000
Ta 0.000 0.333 0.667
B 0.500 0.661 0.661
Ta 0.000 0.667 0.333
B 0.500 0.000 0.339
B 0.500 0.661 0.000

---

We obtain total moment values of 2.48 0.20 0.00 μB per formula unit for the records listed above, in that order.
We obtain density values of 8.925 7.189 10.906 g cm⁻³ for the records listed above, in that order.